! CsLiCa3, optimized geometry, DFT GGA-PBE; values from VASP
&SYSTEM
  ibrav = 0, nat = 5, ntyp = 3
/
ATOMIC_SPECIES
Cs 132.91 Cs.upf
Li 6.94 Li.upf
Ca 40.08 Ca.upf
ATOMIC_POSITIONS angstrom
Cs 0.000 0.000 0.000
Li 3.126 3.126 3.126
Ca 0.000 3.126 3.126
Ca 3.126 0.000 3.126
Ca 3.126 3.126 0.000
CELL_PARAMETERS angstrom
6.252 0.000 0.000
0.000 6.252 0.000
0.000 0.000 6.252
! Calculated formation energy in kJ/mol of atoms: 22.15
! Total moment in μB/f.u.: 0.000
! Symmetry: Pm-3m
! Energy in eV/atom: -1.52

! Cs2Li2Ca, optimized geometry, DFT GGA-PBE; values from VASP
&SYSTEM
  ibrav = 0, nat = 5, ntyp = 3
/
ATOMIC_SPECIES
Cs 132.91 Cs.upf
Li 6.94 Li.upf
Ca 40.08 Ca.upf
ATOMIC_POSITIONS angstrom
Cs 0.000 0.000 3.603
Cs 0.000 0.000 24.918
Li 2.151 0.000 7.130
Li 0.000 2.151 7.130
Ca 0.000 0.000 14.260
CELL_PARAMETERS angstrom
-2.151 2.151 14.260
2.151 -2.151 14.260
2.151 2.151 -14.260
! Calculated formation energy in kJ/mol of atoms: 22.44
! Total moment in μB/f.u.: 0.000
! Symmetry: I4/mmm
! Energy in eV/atom: -1.27

! CsLiCa3, optimized geometry, DFT GGA-PBE; values from VASP
&SYSTEM
  ibrav = 0, nat = 5, ntyp = 3
/
ATOMIC_SPECIES
Cs 132.91 Cs.upf
Li 6.94 Li.upf
Ca 40.08 Ca.upf
ATOMIC_POSITIONS angstrom
Cs 0.000 0.000 0.000
Li 3.180 3.180 3.180
Ca 0.000 0.000 3.180
Ca 0.000 3.180 0.000
Ca 3.180 0.000 0.000
CELL_PARAMETERS angstrom
6.360 0.000 0.000
0.000 6.360 0.000
0.000 0.000 6.360
! Calculated formation energy in kJ/mol of atoms: 98.74
! Total moment in μB/f.u.: 3.337
! Symmetry: Pm-3m
! Energy in eV/atom: -0.73

! Cs2Li2Ca, optimized geometry, DFT GGA-PBE; values from VASP
&SYSTEM
  ibrav = 0, nat = 10, ntyp = 3
/
ATOMIC_SPECIES
Cs 132.91 Cs.upf
Li 6.94 Li.upf
Ca 40.08 Ca.upf
ATOMIC_POSITIONS angstrom
Cs 1.666 2.970 0.000
Cs 2.970 7.605 0.000
Cs 6.302 1.666 0.000
Cs 7.605 6.302 0.000
Li 1.108 5.744 3.243
Li 3.527 1.108 3.243
Li 5.744 8.163 3.243
Li 8.163 3.527 3.243
Ca 0.000 0.000 3.243
Ca 4.636 4.636 3.243
CELL_PARAMETERS angstrom
9.271 0.000 0.000
0.000 9.271 0.000
0.000 0.000 6.487
! Calculated formation energy in kJ/mol of atoms: 24.24
! Total moment in μB/f.u.: 0.000
! Symmetry: P4/mbm
! Energy in eV/atom: -1.26

! CsLi3Ca, optimized geometry, DFT GGA-PBE; values from VASP
&SYSTEM
  ibrav = 0, nat = 5, ntyp = 3
/
ATOMIC_SPECIES
Cs 132.91 Cs.upf
Li 6.94 Li.upf
Ca 40.08 Ca.upf
ATOMIC_POSITIONS angstrom
Cs 0.000 0.000 0.000
Li 0.000 3.203 3.203
Li 3.203 0.000 3.203
Li 3.203 3.203 0.000
Ca 3.203 3.203 3.203
CELL_PARAMETERS angstrom
6.406 0.000 0.000
0.000 6.406 0.000
0.000 0.000 6.406
! Calculated formation energy in kJ/mol of atoms: 43.35
! Total moment in μB/f.u.: 0.000
! Symmetry: Pm-3m
! Energy in eV/atom: -1.27

! Cs2Li2Ca, optimized geometry, DFT GGA-PBE; values from VASP
&SYSTEM
  ibrav = 0, nat = 10, ntyp = 3
/
ATOMIC_SPECIES
Cs 132.91 Cs.upf
Li 6.94 Li.upf
Ca 40.08 Ca.upf
ATOMIC_POSITIONS angstrom
Cs 1.520 4.162 0.000
Cs 4.162 9.844 0.000
Cs 7.202 1.520 0.000
Cs 9.844 7.202 0.000
Li 1.951 7.633 2.028
Li 3.731 1.951 2.028
Li 7.633 9.413 2.028
Li 9.413 3.731 2.028
Ca 0.000 0.000 0.000
Ca 5.682 5.682 0.000
CELL_PARAMETERS angstrom
11.364 0.000 0.000
0.000 11.364 0.000
0.000 0.000 4.057
! Calculated formation energy in kJ/mol of atoms: 33.72
! Total moment in μB/f.u.: 0.000
! Symmetry: P4/mbm
! Energy in eV/atom: -1.16